Material: Zn2SiTe
Method: DFT, PBE
State: optimized geometry

Unit cell a=3.622 b=3.622 c=21.345 alpha=90.00 beta=90.00 gamma=120.00
Positions (direct):
Zn 0.000 0.000 0.239
Zn 0.000 0.000 0.761
Zn 0.333 0.667 0.427
Zn 0.333 0.667 0.906
Zn 0.667 0.333 0.094
Zn 0.667 0.333 0.573
Si 0.000 0.000 0.500
Si 0.333 0.667 0.167
Si 0.667 0.333 0.833
Te 0.000 0.000 0.000
Te 0.333 0.667 0.667
Te 0.667 0.333 0.333

SG ... No. 166
ρ ... 5.9 g cm⁻³
Raw formation energy ... 213 meV/atom
Total energy ... -2.57 eV per atom
Total moment ... 0.00 μB/f.u.
Excess energy over the best structure of this formula in the dataset ... 145 meV/atom

***

Material: Ba4Mg
Method: DFT, PBE
State: optimized geometry

Unit cell a=6.875 b=6.875 c=6.875 alpha=90.00 beta=90.00 gamma=90.00
Positions (direct):
Ba 0.000 0.000 0.000
Ba 0.000 0.500 0.500
Ba 0.500 0.000 0.500
Ba 0.500 0.500 0.000
Mg 0.500 0.500 0.500

SG ... No. 221
ρ ... 2.9 g cm⁻³
Total energy ... -1.69 eV per atom
Total moment ... 0.02 μB/f.u.
Excess energy over the best structure of this formula in the dataset ... 169 meV/atom

***

Material: BaSmEuSbO6
Method: DFT, PBE
State: optimized geometry

Unit cell a=6.052 b=6.052 c=6.052 alpha=60.00 beta=60.00 gamma=60.00
Positions (direct):
Ba 0.000 0.000 0.000
Sm 0.750 0.750 0.750
Eu 0.500 0.500 0.500
Sb 0.250 0.250 0.250
O 0.016 0.016 0.484
O 0.016 0.484 0.016
O 0.016 0.484 0.484
O 0.484 0.016 0.016
O 0.484 0.016 0.484
O 0.484 0.484 0.016

SG ... No. 216
ρ ... 7.0 g cm⁻³
Raw formation energy ... -2558 meV/atom
Total energy ... -7.64 eV per atom
Total moment ... 7.00 μB/f.u.

***

Material: Nb2Al3Ga3
Method: DFT, PBE
State: optimized geometry

Unit cell a=4.004 b=4.005 c=8.013 alpha=90.00 beta=90.00 gamma=90.00
Positions (direct):
Nb 0.000 0.000 0.240
Nb 0.000 0.000 0.760
Al 0.000 0.500 0.500
Al 0.500 0.000 0.000
Al 0.500 0.000 0.500
Ga 0.000 0.500 0.000
Ga 0.500 0.500 0.260
Ga 0.500 0.500 0.740

SG ... No. 47
ρ ... 6.1 g cm⁻³
Total energy ... -5.26 eV per atom
Total moment ... 0.00 μB/f.u.
Excess energy over the best structure of this formula in the dataset ... 167 meV/atom

***

What is the total moment in the fourth record? 0.00 μB/f.u.

***

total moment of number 3 (BaSmEuSbO6)? 7.00 μB/f.u.

***

Which value of total moment does entry 2 give? 0.02 μB/f.u.